A relaxed structure of Na3Ac3MnS8. Source: Alexandria via LeMat-Bulk, functional PBE-GGA.

```
Na3Ac3MnS8
1.0
4.199 2.424 6.703
-4.199 2.424 6.703
0.000 -4.848 6.703
Na Ac Mn S
3 3 1 8
Cartesian
-2.099 -1.212 6.703
-2.099 1.212 13.407
0.000 2.424 6.703
-4.199 0.000 10.055
-2.099 1.212 3.352
2.099 1.212 3.352
0.000 0.000 10.055
0.000 0.000 5.006
0.000 -2.023 8.644
-1.752 1.012 8.644
-1.752 -1.012 11.466
1.752 1.012 8.644
1.752 -1.012 11.466
0.000 2.023 11.466
0.000 0.000 15.104
```

Results
total moment = 2.988 μB per formula unit
symmetry = R-3m, No. 166
E_tot = -5.367 eV/atom
calculated volume = 409.4 Å³ per cell
uncorrected formation energy = -33.9 kcal/mol of atoms